First-principles (PBE) data for a relaxed structure of Fe2BiB, as listed in Alexandria.

Cell lengths 5.892, 5.892, 5.892 Å; angles 90.00, 90.00, 90.00 degrees
Space group Fm-3m (No. 225)
Unique sites:
Fe 0.250 0.250 0.250
Bi 0.000 0.000 0.000
B 0.000 0.000 0.500

energy of formation: 1.0287 eV/atom
calculated volume: 205 Å³ per cell
ΔE to the lowest computed polymorph: 0.423 eV per atom
E: -0.21470 Ha/atom